[1]
IrOsPt: PBEsol geometry, meta-GGA SCAN.

## Properties
As for the space group: P3m1, No. 156. As for the energy above the lowest structure with this stoichiometry: 36.6 meV per atom.

Lattice parameters (Å, degrees): 2.7246 2.7246 6.6907 90.00 90.00 120.00
Closest atoms and distances in Å follow each position.
Element x y z (fractional)
Ir1 0.0000 0.0000 0.0000  3 Os 2.63, 6 Ir 2.72, 3 Pt 2.81
Os1 0.3333 0.6667 0.6842  3 Ir 2.63, 6 Os 2.72, 3 Pt 2.75
Pt1 0.6667 0.3333 0.3471  6 Pt 2.72, 3 Os 2.75, 3 Ir 2.81

***

[2]
DyZnGa: PBEsol geometry, meta-GGA SCAN.

## Properties
As for the space group: P6_3/mmc, No. 194. The calculation puts the total energy at -0.9761 hartree per atom.

Lattice parameters (Å, degrees): 4.3320 4.3320 7.1096 90.00 90.00 120.00
Closest atoms and distances in Å follow each position.
Element x y z (fractional)
Dy1 0.0000 0.0000 0.0000  6 Zn 3.07, 6 Ga 3.07
Dy2 0.0000 0.0000 0.5000  6 Zn 3.07, 6 Ga 3.07
Zn1 0.3333 0.6667 0.2500  3 Ga 2.50
Zn2 0.6667 0.3333 0.7500  3 Ga 2.50
Ga1 0.3333 0.6667 0.7500  3 Zn 2.50
Ga2 0.6667 0.3333 0.2500  3 Zn 2.50

***

[3]
Cu3Au2: PBEsol geometry, meta-GGA SCAN.

## Properties
As for the space group: Immm, No. 71. As for the energy above the lowest structure with this stoichiometry: 19.5 meV per atom.

Lattice parameters (Å, degrees): 2.7323 3.4813 14.4275 90.00 90.00 90.00
Closest atoms and distances in Å follow each position.
Element x y z (fractional)
Cu1 0.0000 0.0000 0.0000  10 Cu 2.54-2.73, 2 Au 2.69
Cu2 0.0000 0.0000 0.4141  7 Cu 2.48-2.73, 4 Au 2.64
Cu3 0.0000 0.0000 0.5859  7 Cu 2.48-2.73, 4 Au 2.64
Cu4 0.5000 0.5000 0.0859  7 Cu 2.48-2.73, 4 Au 2.64
Cu5 0.5000 0.5000 0.5000  10 Cu 2.54-2.73, 2 Au 2.69
Cu6 0.5000 0.5000 0.9141  7 Cu 2.48-2.73, 4 Au 2.64
Au1 0.0000 0.0000 0.1863  5 Cu 2.64-2.69, 6 Au 2.73-2.88
Au2 0.0000 0.0000 0.8137  5 Cu 2.64-2.69, 6 Au 2.73-2.88
Au3 0.5000 0.5000 0.3137  5 Cu 2.64-2.69, 6 Au 2.73-2.88
Au4 0.5000 0.5000 0.6863  5 Cu 2.64-2.69, 6 Au 2.73-2.88

***

[4]
Li2BePb: PBEsol geometry, meta-GGA SCAN.

## Properties
As for the space group: F-43m, No. 216. As for the energy above the lowest structure with this stoichiometry: 0.0 meV per atom.

Lattice parameters (Å, degrees): 6.2635 6.2635 6.2635 90.00 90.00 90.00
Closest atoms and distances in Å follow each position.
Element x y z (fractional)
Li1 0.0000 0.0000 0.0000  4 Li 2.71, 4 Be 2.71
Li2 0.0000 0.5000 0.5000  4 Li 2.71, 4 Be 2.71
Li3 0.2500 0.2500 0.2500  4 Pb 2.71, 4 Li 2.71
Li4 0.2500 0.7500 0.7500  4 Pb 2.71, 4 Li 2.71
Li5 0.5000 0.0000 0.5000  4 Li 2.71, 4 Be 2.71
Li6 0.5000 0.5000 0.0000  4 Li 2.71, 4 Be 2.71
Li7 0.7500 0.2500 0.7500  4 Pb 2.71, 4 Li 2.71
Li8 0.7500 0.7500 0.2500  4 Pb 2.71, 4 Li 2.71
Be1 0.2500 0.2500 0.7500  4 Pb 2.71, 4 Li 2.71
Be2 0.2500 0.7500 0.2500  4 Pb 2.71, 4 Li 2.71
Be3 0.7500 0.2500 0.2500  4 Pb 2.71, 4 Li 2.71
Be4 0.7500 0.7500 0.7500  4 Pb 2.71, 4 Li 2.71
Pb1 0.0000 0.0000 0.5000  4 Be 2.71, 4 Li 2.71
Pb2 0.0000 0.5000 0.0000  4 Be 2.71, 4 Li 2.71
Pb3 0.5000 0.0000 0.0000  4 Be 2.71, 4 Li 2.71
Pb4 0.5000 0.5000 0.5000  4 Be 2.71, 4 Li 2.71

***

[5]
HoCu4Ni: PBEsol geometry, meta-GGA SCAN.

## Properties
As for the space group: P-6m2, No. 187. The calculation puts the total energy at -0.7808 hartree per atom.

Lattice parameters (Å, degrees): 4.8664 4.8664 4.0200 90.00 90.00 120.00
Closest atoms and distances in Å follow each position.
Element x y z (fractional)
Ho1 0.0000 0.0000 0.0000  3 Ni 2.81, 3 Cu 2.81
Cu1 0.3333 0.6667 0.0000  6 Cu 2.46
Cu2 0.5008 0.0015 0.5000  6 Cu 2.42-2.46, 2 Ni 2.45
Cu3 0.5008 0.4992 0.5000  6 Cu 2.42-2.46, 2 Ni 2.45
Cu4 0.9985 0.4992 0.5000  6 Cu 2.42-2.46, 2 Ni 2.45
Ni1 0.6667 0.3333 0.0000  6 Cu 2.45

***

[6]
SiNi2Pt: PBEsol geometry, meta-GGA SCAN.

## Properties
As for the space group: Immm, No. 71. The value obtained for the formation energy (no corrections) is -0.43 eV per atom.

Lattice parameters (Å, degrees): 2.7257 4.2060 8.2975 90.00 90.00 90.00
Closest atoms and distances in Å follow each position.
Element x y z (fractional)
Si1 0.0000 0.0000 0.0000  4 Ni 2.27, 4 Pt 2.51
Si2 0.5000 0.5000 0.5000  4 Ni 2.27, 4 Pt 2.51
Ni1 0.0000 0.5000 0.2807  2 Si 2.27
Ni2 0.0000 0.5000 0.7193  2 Si 2.27
Ni3 0.5000 0.0000 0.2193  2 Si 2.27
Ni4 0.5000 0.0000 0.7807  2 Si 2.27
Pt1 0.0000 0.0000 0.5000  4 Si 2.51, 8 Ni 2.70-2.78, 2 Pt 2.73
Pt2 0.5000 0.5000 0.0000  4 Si 2.51, 8 Ni 2.70-2.78, 2 Pt 2.73

***

[7]
SrLiB9O15: PBEsol geometry, meta-GGA SCAN.

## Properties
As for the space group: R3c, No. 161. The value obtained for the formation energy (no corrections) is -2.72 eV per atom.

Lattice parameters (Å, degrees): 8.5044 8.5044 8.5044 76.97 76.97 76.97
Closest atoms and distances in Å follow each position.
Element x y z (fractional)
Sr1 0.0000 0.0000 0.0000  9 O 2.68-2.85
Sr2 0.5000 0.5000 0.5000  9 O 2.68-2.85
Li1 0.2690 0.2690 0.2690  3 O 2.00
Li2 0.7690 0.7690 0.7690  3 O 2.00
B1 0.0537 0.7182 0.5732  3 O 1.36-1.41
B2 0.0732 0.2182 0.5537  3 O 1.36-1.41
B3 0.1643 0.7187 0.2825  4 O 1.46-1.49
B4 0.2182 0.5537 0.0732  3 O 1.36-1.41
B5 0.2187 0.6643 0.7825  4 O 1.46-1.49
B6 0.2239 0.3692 0.8931  3 O 1.36-1.40
B7 0.2825 0.1643 0.7187  4 O 1.46-1.49
B8 0.3692 0.8931 0.2239  3 O 1.36-1.40
B9 0.3931 0.8692 0.7239  3 O 1.36-1.40
B10 0.5537 0.0732 0.2182  3 O 1.36-1.41
B11 0.5732 0.0537 0.7182  3 O 1.36-1.41
B12 0.6643 0.7825 0.2187  4 O 1.46-1.49
B13 0.7182 0.5732 0.0537  3 O 1.36-1.41
B14 0.7187 0.2825 0.1643  4 O 1.46-1.49
B15 0.7239 0.3931 0.8692  3 O 1.36-1.40
B16 0.7825 0.2187 0.6643  4 O 1.46-1.49
B17 0.8692 0.7239 0.3931  3 O 1.36-1.40
B18 0.8931 0.2239 0.3692  3 O 1.36-1.40
O1 0.0506 0.2221 0.3941  2 B 1.40-1.41
O2 0.0657 0.7427 0.7218  2 B 1.36-1.47
O3 0.1858 0.6890 0.4529  2 B 1.36-1.46
O4 0.1890 0.6858 0.9529  2 B 1.36-1.46
O5 0.1940 0.2258 0.8713  2 B 1.36-1.49
O6 0.2218 0.2427 0.5657  2 B 1.36-1.47
O7 0.2221 0.3941 0.0506  2 B 1.40-1.41
O8 0.2258 0.8713 0.1940  2 B 1.36-1.49
O9 0.2427 0.5657 0.2218  2 B 1.36-1.47
O10 0.2568 0.4914 0.7628  2 B 1.36-1.47
O11 0.2628 0.9914 0.7568  2 B 1.36-1.47
O12 0.3713 0.7258 0.6940  2 B 1.36-1.49
O13 0.3941 0.0506 0.2221  2 B 1.40-1.41
O14 0.4529 0.1858 0.6890  2 B 1.36-1.46
O15 0.4914 0.7628 0.2568  2 B 1.36-1.47
O16 0.5506 0.8941 0.7221  2 B 1.40-1.41
O17 0.5657 0.2218 0.2427  2 B 1.36-1.47
O18 0.6858 0.9529 0.1890  2 B 1.36-1.46
O19 0.6890 0.4529 0.1858  2 B 1.36-1.46
O20 0.6940 0.3713 0.7258  2 B 1.36-1.49
O21 0.7218 0.0657 0.7427  2 B 1.36-1.47
O22 0.7221 0.5506 0.8941  2 B 1.40-1.41
O23 0.7258 0.6940 0.3713  2 B 1.36-1.49
O24 0.7427 0.7218 0.0657  2 B 1.36-1.47
O25 0.7568 0.2628 0.9914  2 B 1.36-1.47
O26 0.7628 0.2568 0.4914  2 B 1.36-1.47
O27 0.8713 0.1940 0.2258  2 B 1.36-1.49
O28 0.8941 0.7221 0.5506  2 B 1.40-1.41
O29 0.9529 0.1890 0.6858  2 B 1.36-1.46
O30 0.9914 0.7568 0.2628  2 B 1.36-1.47

***

[8]
TaFeAu2: PBEsol geometry, meta-GGA SCAN.

## Properties
As for the space group: P4/mmm, No. 123. As for the energy above the lowest structure with this stoichiometry: 71.9 meV per atom.

Lattice parameters (Å, degrees): 4.8576 4.8576 2.7503 90.00 90.00 90.00
Closest atoms and distances in Å follow each position.
Element x y z (fractional)
Ta1 0.0000 0.0000 0.0000  2 Ta 2.75, 8 Au 2.79
Fe1 0.5000 0.5000 0.0000  2 Fe 2.75, 8 Au 2.79
Au1 0.0000 0.5000 0.5000  2 Au 2.75, 4 Ta 2.79, 4 Fe 2.79
Au2 0.5000 0.0000 0.5000  2 Au 2.75, 4 Ta 2.79, 4 Fe 2.79

***

[9]
TiHg3Bi: PBEsol geometry, meta-GGA SCAN.

## Properties
As for the space group: Pm-3m, No. 221. The calculation puts the total energy at -2.1809 hartree per atom.

Lattice parameters (Å, degrees): 5.1674 5.1674 5.1674 90.00 90.00 90.00
Closest atoms and distances in Å follow each position.
Element x y z (fractional)
Ti1 0.0000 0.0000 0.0000  6 Hg 2.58
Hg1 0.0000 0.0000 0.5000  2 Ti 2.58
Hg2 0.0000 0.5000 0.0000  2 Ti 2.58
Hg3 0.5000 0.0000 0.0000  2 Ti 2.58
Bi1 0.5000 0.5000 0.5000  12 Hg 3.65

***

[10]
LiBe2Tc: PBEsol geometry, meta-GGA SCAN.

## Properties
As for the space group: R-3m, No. 166. The calculation puts the total energy at -0.4174 hartree per atom.

Lattice parameters (Å, degrees): 2.5898 2.5898 24.7359 90.00 90.00 120.00
Closest atoms and distances in Å follow each position.
Element x y z (fractional)
Li1 0.0000 0.0000 0.0000  6 Li 2.59, 6 Be 2.62
Li2 0.3333 0.6667 0.6667  6 Li 2.59, 6 Be 2.62
Li3 0.6667 0.3333 0.3333  6 Li 2.59, 6 Be 2.62
Be1 0.0000 0.0000 0.2463  3 Tc 2.47, 6 Be 2.59, 3 Li 2.62
Be2 0.0000 0.0000 0.7537  3 Tc 2.47, 6 Be 2.59, 3 Li 2.62
Be3 0.3333 0.6667 0.4204  3 Tc 2.47, 6 Be 2.59, 3 Li 2.62
Be4 0.3333 0.6667 0.9129  3 Tc 2.47, 6 Be 2.59, 3 Li 2.62
Be5 0.6667 0.3333 0.0871  3 Tc 2.47, 6 Be 2.59, 3 Li 2.62
Be6 0.6667 0.3333 0.5796  3 Tc 2.47, 6 Be 2.59, 3 Li 2.62
Tc1 0.0000 0.0000 0.5000  6 Be 2.47, 6 Tc 2.59
Tc2 0.3333 0.6667 0.1667  6 Be 2.47, 6 Tc 2.59
Tc3 0.6667 0.3333 0.8333  6 Be 2.47, 6 Tc 2.59

***

[11]
LaFe2Te: PBEsol geometry, meta-GGA SCAN.

## Properties
As for the space group: Pmmm, No. 47. The value obtained for the formation energy (no corrections) is -0.08 eV per atom.

Lattice parameters (Å, degrees): 4.0920 4.2610 5.0781 90.00 90.00 90.00
Closest atoms and distances in Å follow each position.
Element x y z (fractional)
La1 0.0000 0.0000 0.0000  8 Fe 3.15, 4 Te 3.26
Fe1 0.5000 0.5000 0.2171  1 Fe 2.20
Fe2 0.5000 0.5000 0.7829  1 Fe 2.20
Te1 0.5000 0.0000 0.5000  4 Fe 2.57

***

[12]
PrAlZn: PBEsol geometry, meta-GGA SCAN.

## Properties
As for the space group: C2/m, No. 12. The calculation puts the total energy at -0.8093 hartree per atom.

Lattice parameters (Å, degrees): 10.5185 4.5440 7.4865 90.00 133.65 90.00
Closest atoms and distances in Å follow each position.
Element x y z (fractional)
Pr1 0.0443 0.0000 0.2980  6 Zn 3.08-3.36, 6 Al 3.15-3.37
Pr2 0.4557 0.5000 0.7020  6 Zn 3.08-3.36, 6 Al 3.15-3.37
Pr3 0.5443 0.5000 0.2980  6 Zn 3.08-3.36, 6 Al 3.15-3.37
Pr4 0.9557 0.0000 0.7020  6 Zn 3.08-3.36, 6 Al 3.15-3.37
Al1 0.1638 0.5000 0.1042  1 Al 2.62, 3 Zn 2.63-2.87
Al2 0.3362 0.0000 0.8958  1 Al 2.62, 3 Zn 2.63-2.87
Al3 0.6638 0.0000 0.1042  1 Al 2.62, 3 Zn 2.63-2.87
Al4 0.8362 0.5000 0.8958  1 Al 2.62, 3 Zn 2.63-2.87
Zn1 0.1625 0.5000 0.7200  3 Al 2.63-2.87, 1 Zn 2.64
Zn2 0.3375 0.0000 0.2800  3 Al 2.63-2.87, 1 Zn 2.64
Zn3 0.6625 0.0000 0.7200  3 Al 2.63-2.87, 1 Zn 2.64
Zn4 0.8375 0.5000 0.2800  3 Al 2.63-2.87, 1 Zn 2.64

***

We obtain DOS at the Fermi energy values of 2.4 3.2 2.6 0.9 3.1 4.1 0.0 2.7 2.3 5.3 3.1 5.0 states/eV/cell for the records listed above, in that order.